Entry from Alexandria via LeMat-Bulk: crystalline BiPWS2 at its relaxed geometry (PBE-GGA).

Summary:
ΔE_f (raw)   1781 meV/atom
Final energy   -21.60 eV/cell
Magnetic moment   2.7 μB per formula unit
Polymorph energy (0 for the lowest one)   1544 meV per atom
SG   P4/mmm, No. 123
Calculated volume   135 Å³/cell

Cell: 5.0922 5.0922 5.2252 Å, 90.00 90.00 90.00°
Positions (direct):
P 0.0000 0.0000 0.5000
W 0.5000 0.5000 0.5000
S 0.0000 0.5000 0.0000
Bi 0.0000 0.0000 0.0000
S 0.5000 0.0000 0.0000


Entry from Alexandria via LeMat-Bulk: crystalline BiP2WS at its relaxed geometry (PBE-GGA).

Summary:
ΔE_f (raw)   392 meV/atom
Final energy   -29.82 eV/cell
Magnetic moment   0.0 μB per formula unit
Polymorph energy (0 for the lowest one)   0 meV per atom
SG   P4/mmm, No. 123
Calculated volume   108 Å³/cell

Cell: 4.8955 4.8955 4.5107 Å, 90.00 90.00 90.00°
Positions (direct):
W 0.0000 0.0000 0.0000
S 0.0000 0.0000 0.5000
P 0.5000 0.0000 0.0000
Bi 0.5000 0.5000 0.5000
P 0.0000 0.5000 0.0000


Entry from Alexandria via LeMat-Bulk: crystalline YBiP2S at its relaxed geometry (PBE-GGA).

Summary:
ΔE_f (raw)   269 meV/atom
Final energy   -23.95 eV/cell
Magnetic moment   0.0 μB per formula unit
Polymorph energy (0 for the lowest one)   0 meV per atom
SG   P4/mmm, No. 123
Calculated volume   142 Å³/cell

Cell: 5.2864 5.2864 5.0829 Å, 90.00 90.00 90.00°
Positions (direct):
Bi 0.5000 0.5000 0.5000
S 0.0000 0.0000 0.5000
P 0.5000 0.0000 0.0000
P 0.0000 0.5000 0.0000
Y 0.0000 0.0000 0.0000


Entry from Alexandria via LeMat-Bulk: crystalline Y6BiP3S2 at its relaxed geometry (PBE-GGA).

Summary:
ΔE_f (raw)   -1630 meV/atom
Final energy   -86.70 eV/cell
Magnetic moment   0.0 μB per formula unit
SG   C2/m, No. 12
Calculated volume   286 Å³/cell

Cell: 4.0544 8.1901 9.1083 Å, 103.42 102.86 90.00°
Positions (direct):
Bi 0.5000 0.0000 0.0000
S 0.8302 0.6619 0.6604
P 0.8347 0.1695 0.6693
Y 0.6757 0.0815 0.3514
Y 0.0006 0.7272 0.0012
Y 0.3243 0.9185 0.6486
Y 0.9994 0.2728 0.9988
S 0.1698 0.3381 0.3396
P 0.5000 0.5000 0.0000
P 0.1653 0.8305 0.3307
Y 0.3346 0.4106 0.6691
Y 0.6654 0.5894 0.3309


Entry from Alexandria via LeMat-Bulk: crystalline Y6BiP2S3 at its relaxed geometry (PBE-GGA).

Summary:
ΔE_f (raw)   -1678 meV/atom
Final energy   -86.01 eV/cell
Magnetic moment   0.0 μB per formula unit
SG   C2/m, No. 12
Calculated volume   283 Å³/cell

Cell: 4.0428 8.1453 9.0450 Å, 102.35 102.91 90.00°
Positions (direct):
Bi 0.5000 0.0000 0.0000
P 0.8320 0.6636 0.6640
S 0.8361 0.1671 0.6721
S 0.1639 0.8329 0.3279
Y 0.9953 0.7242 0.9905
Y 0.6760 0.1014 0.3520
P 0.1680 0.3364 0.3360
S 0.5000 0.5000 0.0000
Y 0.0047 0.2758 0.0095
Y 0.6702 0.5786 0.3404
Y 0.3298 0.4214 0.6596
Y 0.3240 0.8986 0.6480


Entry from Alexandria via LeMat-Bulk: crystalline YBiP2S at its relaxed geometry (PBE-GGA).

Summary:
ΔE_f (raw)   356 meV/atom
Final energy   -23.51 eV/cell
Magnetic moment   0.0 μB per formula unit
Polymorph energy (0 for the lowest one)   86 meV per atom
SG   P4/mmm, No. 123
Calculated volume   136 Å³/cell

Cell: 5.1262 5.1262 5.1725 Å, 90.00 90.00 90.00°
Positions (direct):
P 0.0000 0.5000 0.0000
Y 0.5000 0.5000 0.5000
Bi 0.0000 0.0000 0.0000
S 0.0000 0.0000 0.5000
P 0.5000 0.0000 0.0000


Question: Look up the ΔE_f (raw) of the fourth one.
Answer: -1630 meV/atom